Below is a relaxed Li6V3P8O29 crystal, with properties calculated at the PBE with a Hubbard U level.

Results
ρ: 2.6 g/cm³
Spin magnetization: 0.063 μB/atom
Symmetry: Cc, No. 9
Uncorrected energy: -645.78 eV per cell

Structure (extended XYZ):
```
92
Lattice="-9.0167 3.9578 0.2777 -7.9546 -5.7815 0.5852 0.6124 0.5083 13.9835" Properties=species:S:1:pos:R:3 pbc="T T T"
Li -13.6817 -0.3940 13.8104
Li -13.8453 -1.9555 6.8599
Li -10.4431 1.9681 6.6326
Li -8.8883 1.7295 13.5452
Li -9.5130 -3.4992 13.8049
Li -7.6418 1.7975 8.1690
Li -8.7054 -3.0093 6.6951
Li -7.4370 -3.1422 1.3252
Li -5.4023 -0.4553 5.7025
Li -5.1061 -0.1100 12.6914
Li -2.3638 0.7429 7.9778
Li -2.5087 -0.9899 1.0328
V -8.1140 0.1610 10.8603
V -8.2688 -1.4813 3.9124
V -4.9901 2.3371 3.6047
V -11.4190 -3.6059 11.2364
V -4.0880 -2.8734 10.7689
V -12.3099 1.5015 4.0754
P -14.2263 -0.7710 2.8493
P -13.7715 -1.8804 9.8841
P -10.3986 2.1308 9.6640
P -10.7992 -0.6976 12.7855
P -11.0889 -1.1027 5.7985
P -9.3649 1.2612 2.6156
P -7.7389 1.4988 5.1105
P -10.0675 -3.9675 2.8568
P -6.3748 2.6493 11.9302
P -8.5850 -2.8286 9.7444
P -6.9629 -2.5544 12.2383
P -5.2488 -0.2283 9.0689
P -5.5426 -0.5966 2.0807
P -6.0419 -3.4651 5.1235
P -2.5996 0.5450 4.9310
P -2.1486 -0.5294 11.9646
O -14.8605 -0.4026 6.5596
O -13.8423 -0.3643 9.9684
O -14.3366 -2.1447 13.6144
O -13.9696 -2.2585 3.0284
O -12.9237 0.0370 3.0629
O -12.1740 -0.1480 12.2178
O -11.5292 1.1391 9.9434
O -10.3718 3.0028 13.4475
O -10.8204 1.7444 2.7371
O -12.3092 -1.9698 5.2755
O -12.3269 -2.3740 10.1388
O -11.2752 0.3732 5.1897
O -10.7903 -0.6710 14.2735
O -11.0846 -1.0341 7.2852
O -9.6381 0.1379 12.1551
O -11.3869 -3.2271 3.0815
O -10.6592 -2.2141 12.2712
O -9.0152 1.4227 9.6344
O -8.6040 1.9855 3.8406
O -8.5186 1.7479 6.3766
O -8.7574 1.5533 1.2958
O -9.2646 -0.2625 2.9834
O -9.7709 -1.7063 5.2135
O -7.5122 1.5806 12.0597
O -8.8177 -1.2991 10.0159
O -9.9031 -3.6053 9.9057
O -6.7204 3.3322 10.5195
O -14.3549 -2.4895 8.6400
O -9.8792 -4.5757 6.6870
O -6.4426 2.3213 5.0403
O -7.3738 0.0029 4.9082
O -8.8688 -2.9814 2.7737
O -6.5964 0.4016 9.5805
O -6.9272 -1.0307 11.9406
O -7.6793 -2.8862 13.5227
O -7.9199 -3.0647 8.4413
O -7.6943 -3.2942 11.0070
O -7.3835 -2.6604 5.1938
O -5.6791 0.8597 2.6639
O -5.0445 1.8390 11.7747
O -6.7263 -1.4688 2.6398
O -5.5221 -0.6199 0.5826
O -5.2236 -0.2946 7.5721
O -5.0725 -1.6405 9.7426
O -4.0788 0.9670 4.7675
O -4.0316 0.6473 9.5725
O -5.5194 -3.0813 12.2106
O -6.2228 -4.2930 3.7605
O -14.9188 -0.3806 1.5736
O -4.9163 -2.3986 4.9087
O -4.1688 -1.1564 2.6296
O -3.5010 -1.2694 11.8379
O -2.4116 0.9918 11.9521
O -2.1312 0.9294 1.0515
O -1.7974 0.9186 3.5784
O -2.5288 -0.9949 5.0151
O -1.5820 -1.0450 8.1136
O -1.2755 -0.8051 10.6326
```